1.
DFT (GGA-PBE) results for a relaxed structure of V2SbS2.

The structure in POSCAR format:
```
V2SbS2
1.0
7.286 0.000 0.000
0.000 7.286 0.000
0.000 0.000 3.063
V Sb S
4 2 4
direct
0.128 0.372 0.000 V
0.372 0.872 0.000 V
0.628 0.128 0.000 V
0.872 0.628 0.000 V
0.000 0.000 0.000 Sb
0.500 0.500 0.000 Sb
0.134 0.634 0.500 S
0.366 0.134 0.500 S
0.634 0.866 0.500 S
0.866 0.366 0.500 S
```

Space group: No. 127
Excess energy over the best structure of this formula in the dataset, meV/atom: 0


2.
DFT (GGA-PBE) results for a relaxed structure of VSbS2.

The structure in POSCAR format:
```
VSbS2
1.0
-3.156 3.156 4.844
3.156 -3.156 4.844
3.156 3.156 -4.844
V Sb S
2 2 4
direct
0.000 0.000 0.000 V
0.750 0.250 0.500 V
0.250 0.750 0.500 Sb
0.500 0.500 0.000 Sb
0.054 0.625 0.929 S
0.375 0.304 0.429 S
0.696 0.125 0.071 S
0.875 0.946 0.571 S
```

Space group: No. 122
Total energy, eV per cell: -44.0


Number 1: D(E_F) 0.7495 states/eV per atom. Number 2: D(E_F) 0.6700 states/eV per atom.